[1]
First-principles (PBE) data for a relaxed Ni2RhAu crystal, as listed in Alexandria.

abc: 2.7269 2.7269 8.7764
angles: 81.06 81.06 60.00
Site moments in Bohr magnetons follow the coordinates.
Sites, in units of the cell vectors:
Ni 0.0792 0.0792 0.7623  0.76
Ni 0.2542 0.2542 0.2375  0.78
Rh 0.6668 0.6668 0.9997  0.64
Au 0.4998 0.4998 0.5005  -0.01

ΔH_f (0 K), eV per formula unit: 0.6
Total magnetization, μB/cell: 2.09

[2]
First-principles (PBE) data for a relaxed InIrW crystal, as listed in Alexandria.

abc: 4.5421 4.5421 2.8264
angles: 90.00 90.00 120.00
Sites, in units of the cell vectors:
In 0.0000 0.0000 0.1659
Ir 0.6667 0.3333 0.1675
W 0.3333 0.6667 0.6666

ΔH_f (0 K), eV per formula unit: 1.0
Total magnetization, μB/cell: 0.00

[3]
First-principles (PBE) data for a relaxed DyAlZnGe2 crystal, as listed in Alexandria.

abc: 4.0842 7.4888 8.1673
angles: 102.04 90.00 105.82
Sites, in units of the cell vectors:
Dy 0.2836 0.5671 0.3122
Dy 0.7164 0.4329 0.6878
Al 0.0604 0.1209 0.1615
Al 0.9396 0.8791 0.8385
Zn 0.6774 0.3548 0.0401
Zn 0.3226 0.6452 0.9599
Ge 0.3655 0.7311 0.6713
Ge 0.6345 0.2689 0.3287
Ge 0.1185 0.2370 0.8565
Ge 0.8815 0.7630 0.1435

ΔH_f (0 K), eV per formula unit: -1.3
Total magnetization, μB/cell: 0.00

[4]
First-principles (PBE) data for a relaxed BaCo2Te crystal, as listed in Alexandria.

abc: 5.2284 5.2284 5.2284
angles: 127.12 110.21 92.92
Site moments in Bohr magnetons follow the coordinates.
Sites, in units of the cell vectors:
Ba 0.7500 0.2500 0.5000  -0.06
Co 0.0957 0.0957 0.0000  1.44
Co 0.4043 0.4043 0.0000  1.44
Te 0.2500 0.7500 0.5000  0.04

E_tot, eV per cell: -18.098
Total magnetization, μB/cell: 2.84